# 1
YAg3Hg: relaxed, GGA-PBE.

## Properties
Energy of formation from the pure elements = 198 kJ/mol of formula units
Energy above the lowest structure with this stoichiometry = 46.4 kJ/mol of atoms

Cell and atoms, written as CIF:
```
data_YAg3Hg
_chemical_formula_sum 'Y1 Ag3 Hg1'
_symmetry_space_group_name_H-M 'P 1'
_symmetry_Int_Tables_number 1
_cell_length_a 5.151
_cell_length_b 5.151
_cell_length_c 5.151
_cell_angle_alpha 90.00
_cell_angle_beta 90.00
_cell_angle_gamma 90.00
loop_
_symmetry_equiv_pos_as_xyz
'x,y,z'
loop_
_atom_site_label
_atom_site_fract_x
_atom_site_fract_y
_atom_site_fract_z
Ag1 0.000 0.000 0.500
Ag2 0.500 0.000 0.000
Ag3 0.000 0.500 0.000
Y1 0.500 0.500 0.500
Hg1 0.000 0.000 0.000
```


# 2
SrAl2Br2: relaxed, GGA-PBE.

## Properties
Formation energy (no corrections) = -1.4 eV per formula unit
Energy above the lowest structure with this stoichiometry = 0.0 kJ/mol of atoms

Cell and atoms, written as CIF:
```
data_SrAl2Br2
_chemical_formula_sum 'Sr2 Al4 Br4'
_symmetry_space_group_name_H-M 'P 1'
_symmetry_Int_Tables_number 1
_cell_length_a 8.105
_cell_length_b 8.105
_cell_length_c 5.076
_cell_angle_alpha 90.00
_cell_angle_beta 90.00
_cell_angle_gamma 90.00
loop_
_symmetry_equiv_pos_as_xyz
'x,y,z'
loop_
_atom_site_label
_atom_site_fract_x
_atom_site_fract_y
_atom_site_fract_z
Sr1 0.500 0.500 0.000
Sr2 0.000 0.000 0.000
Br1 0.723 0.223 0.500
Br2 0.277 0.777 0.500
Br3 0.777 0.723 0.500
Br4 0.223 0.277 0.500
Al1 0.115 0.385 0.000
Al2 0.615 0.115 0.000
Al3 0.885 0.615 0.000
Al4 0.385 0.885 0.000
```


# 3
TbPmHgRu: relaxed, GGA-PBE.

## Properties
Energy of formation from the pure elements = -117 kJ/mol of formula units
Energy above the lowest structure with this stoichiometry = 10.0 kJ/mol of atoms

Cell and atoms, written as CIF:
```
data_TbPmHgRu
_chemical_formula_sum 'Tb1 Pm1 Hg1 Ru1'
_symmetry_space_group_name_H-M 'P 1'
_symmetry_Int_Tables_number 1
_cell_length_a 5.104
_cell_length_b 5.104
_cell_length_c 5.104
_cell_angle_alpha 60.00
_cell_angle_beta 60.00
_cell_angle_gamma 60.00
loop_
_symmetry_equiv_pos_as_xyz
'x,y,z'
loop_
_atom_site_label
_atom_site_fract_x
_atom_site_fract_y
_atom_site_fract_z
Hg1 0.500 0.500 0.500
Tb1 0.250 0.250 0.250
Ru1 0.000 0.000 0.000
Pm1 0.750 0.750 0.750
```


# 4
Ba2MgIrSe: relaxed, GGA-PBE.

## Properties
Formation energy (no corrections) = -2.9 eV per formula unit

Cell and atoms, written as CIF:
```
data_Ba2MgIrSe
_chemical_formula_sum 'Ba2 Mg1 Ir1 Se1'
_symmetry_space_group_name_H-M 'P 1'
_symmetry_Int_Tables_number 1
_cell_length_a 5.946
_cell_length_b 5.946
_cell_length_c 4.969
_cell_angle_alpha 90.00
_cell_angle_beta 90.00
_cell_angle_gamma 90.00
loop_
_symmetry_equiv_pos_as_xyz
'x,y,z'
loop_
_atom_site_label
_atom_site_fract_x
_atom_site_fract_y
_atom_site_fract_z
Ir1 0.000 0.000 0.000
Mg1 0.000 0.000 0.500
Se1 0.500 0.500 0.500
Ba1 0.500 0.000 0.000
Ba2 0.000 0.500 0.000
```


# 5
In2SnOsBr: relaxed, GGA-PBE.

## Properties
Formation energy (no corrections) = -0.5 eV per formula unit
Energy above the lowest structure with this stoichiometry = 0.0 kJ/mol of atoms

Cell and atoms, written as CIF:
```
data_In2SnOsBr
_chemical_formula_sum 'In2 Sn1 Os1 Br1'
_symmetry_space_group_name_H-M 'P 1'
_symmetry_Int_Tables_number 1
_cell_length_a 5.259
_cell_length_b 5.259
_cell_length_c 5.112
_cell_angle_alpha 90.00
_cell_angle_beta 90.00
_cell_angle_gamma 90.00
loop_
_symmetry_equiv_pos_as_xyz
'x,y,z'
loop_
_atom_site_label
_atom_site_fract_x
_atom_site_fract_y
_atom_site_fract_z
Os1 0.000 0.000 0.000
Sn1 0.000 0.000 0.500
In1 0.000 0.500 0.000
In2 0.500 0.000 0.000
Br1 0.500 0.500 0.500
```


# 6
RbUTe2: relaxed, GGA-PBE.

## Properties
Formation energy (no corrections) = -3.3 eV per formula unit

Cell and atoms, written as CIF:
```
data_RbUTe2
_chemical_formula_sum 'Rb1 U1 Te2'
_symmetry_space_group_name_H-M 'P 1'
_symmetry_Int_Tables_number 1
_cell_length_a 4.492
_cell_length_b 4.492
_cell_length_c 9.156
_cell_angle_alpha 75.80
_cell_angle_beta 75.80
_cell_angle_gamma 60.00
loop_
_symmetry_equiv_pos_as_xyz
'x,y,z'
loop_
_atom_site_label
_atom_site_fract_x
_atom_site_fract_y
_atom_site_fract_z
U1 0.667 0.667 0.998
Te1 0.266 0.266 0.201
Te2 0.068 0.068 0.796
Rb1 0.498 0.498 0.505
```


# 7
CoSnH: relaxed, GGA-PBE.

## Properties
Energy above the lowest structure with this stoichiometry = 0.0 kJ/mol of atoms

Cell and atoms, written as CIF:
```
data_CoSnH
_chemical_formula_sum 'Co2 Sn2 H2'
_symmetry_space_group_name_H-M 'P 1'
_symmetry_Int_Tables_number 1
_cell_length_a 4.986
_cell_length_b 5.051
_cell_length_c 5.051
_cell_angle_alpha 56.04
_cell_angle_beta 60.37
_cell_angle_gamma 60.37
loop_
_symmetry_equiv_pos_as_xyz
'x,y,z'
loop_
_atom_site_label
_atom_site_fract_x
_atom_site_fract_y
_atom_site_fract_z
Co1 0.461 0.268 0.955
Co2 0.961 0.268 0.955
Sn1 0.461 0.268 0.455
Sn2 0.961 0.768 0.955
H1 0.211 0.045 0.177
H2 0.711 0.490 0.732
```


# 8
SmIn8Pd4: relaxed, GGA-PBE.

## Properties
Energy of formation from the pure elements = -539 kJ/mol of formula units

Cell and atoms, written as CIF:
```
data_SmIn8Pd4
_chemical_formula_sum 'Sm1 In8 Pd4'
_symmetry_space_group_name_H-M 'P 1'
_symmetry_Int_Tables_number 1
_cell_length_a 5.879
_cell_length_b 7.415
_cell_length_c 7.415
_cell_angle_alpha 80.96
_cell_angle_beta 66.65
_cell_angle_gamma 66.65
loop_
_symmetry_equiv_pos_as_xyz
'x,y,z'
loop_
_atom_site_label
_atom_site_fract_x
_atom_site_fract_y
_atom_site_fract_z
In1 0.720 0.780 0.780
In2 0.000 0.663 0.337
In3 0.500 0.780 0.220
In4 0.663 0.337 0.337
In5 0.337 0.663 0.663
In6 0.000 0.337 0.663
In7 0.500 0.220 0.780
In8 0.280 0.220 0.220
Pd1 0.000 0.500 0.000
Pd2 0.000 0.000 0.500
Pd3 0.500 0.500 0.000
Pd4 0.500 0.000 0.500
Sm1 0.000 0.000 0.000
```


no.,total magnetic moment (μB per formula unit)
1,0.0
2,0.0
3,0.0
4,0.0
5,0.0
6,3.0
7,0.0
8,0.0